No. 1
! GGA-PBE KLiTc2, optimized geometry; values from VASP
! - Density of states at the Fermi level: 0.4234 states/eV per atom
! - Offset from the most stable computed form: 458 meV per atom
! - ΔH_f (0 K): 0.974 eV per atom
&SYSTEM
  ibrav = 0, nat = 4, ntyp = 3
/
ATOMIC_SPECIES
Li 6.94 Li.upf
Tc 98.00 Tc.upf
K 39.10 K.upf
ATOMIC_POSITIONS crystal
Li 0.231 0.731 0.500
Tc 0.952 0.952 0.000
K 0.513 0.513 0.000
Tc 0.804 0.304 0.500
CELL_PARAMETERS angstrom
5.845 -0.001 -0.017
2.110 5.451 0.017
-3.160 -3.918 2.971


No. 2
! GGA-PBE KLiTc2, optimized geometry; values from VASP
! - Density of states at the Fermi level: 0.6804 states/eV per atom
! - Offset from the most stable computed form: 447 meV per atom
! - ΔH_f (0 K): 0.962 eV per atom
&SYSTEM
  ibrav = 0, nat = 4, ntyp = 3
/
ATOMIC_SPECIES
Li 6.94 Li.upf
K 39.10 K.upf
Tc 98.00 Tc.upf
ATOMIC_POSITIONS crystal
Li 0.750 0.750 0.750
K 0.250 0.250 0.250
Tc 0.010 0.010 0.010
Tc 0.490 0.490 0.490
CELL_PARAMETERS angstrom
10.871 -0.017 -0.010
10.529 2.704 -0.010
10.529 1.322 2.358


No. 3
! GGA-PBE KLiTc2, optimized geometry; values from VASP
! - Density of states at the Fermi level: 1.3820 states/eV per atom
! - Offset from the most stable computed form: 1350 meV per atom
! - ΔH_f (0 K): 1.865 eV per atom
&SYSTEM
  ibrav = 0, nat = 4, ntyp = 3
/
ATOMIC_SPECIES
K 39.10 K.upf
Li 6.94 Li.upf
Tc 98.00 Tc.upf
ATOMIC_POSITIONS crystal
K 0.500 0.500 0.500
Li 0.000 0.000 0.000
Tc 0.250 0.250 0.250
Tc 0.750 0.750 0.750
CELL_PARAMETERS angstrom
3.912 -2.280 1.588
0.242 -4.787 -0.221
2.977 -2.110 -3.115


No. 4
! GGA-PBE K3LiTc, optimized geometry; values from VASP
! - Density of states at the Fermi level: 2.7918 states/eV per atom
! - Offset from the most stable computed form: 0 meV per atom
! - ΔH_f (0 K): 1.152 eV per atom
&SYSTEM
  ibrav = 0, nat = 5, ntyp = 3
/
ATOMIC_SPECIES
Tc 98.00 Tc.upf
K 39.10 K.upf
Li 6.94 Li.upf
ATOMIC_POSITIONS crystal
Tc 0.000 0.000 0.000
K 0.000 0.000 0.500
K 0.500 0.000 0.000
Li 0.500 0.500 0.500
K 0.000 0.500 0.000
CELL_PARAMETERS angstrom
6.563 0.000 0.000
0.000 6.563 0.000
0.000 0.000 6.563


No. 5
! GGA-PBE KLiTc3, optimized geometry; values from VASP
! - Density of states at the Fermi level: 1.2971 states/eV per atom
! - Offset from the most stable computed form: 1025 meV per atom
! - ΔH_f (0 K): 3.022 eV per atom
&SYSTEM
  ibrav = 0, nat = 5, ntyp = 3
/
ATOMIC_SPECIES
Li 6.94 Li.upf
K 39.10 K.upf
Tc 98.00 Tc.upf
ATOMIC_POSITIONS crystal
Li 0.500 0.500 0.500
K 0.000 0.000 0.000
Tc 0.000 0.500 0.000
Tc 0.000 0.000 0.500
Tc 0.500 0.000 0.000
CELL_PARAMETERS angstrom
-3.043 -2.213 -2.580
1.692 -3.989 1.426
-2.947 -0.006 3.482


No. 6
! GGA-PBE KLiTc2, optimized geometry; values from VASP
! - Density of states at the Fermi level: 0.9100 states/eV per atom
! - Offset from the most stable computed form: 441 meV per atom
! - ΔH_f (0 K): 0.956 eV per atom
&SYSTEM
  ibrav = 0, nat = 4, ntyp = 3
/
ATOMIC_SPECIES
K 39.10 K.upf
Tc 98.00 Tc.upf
Li 6.94 Li.upf
ATOMIC_POSITIONS crystal
K 0.500 0.000 0.500
Tc 0.500 0.500 0.000
Li 0.000 0.500 0.500
Tc 0.000 0.000 0.000
CELL_PARAMETERS angstrom
6.040 -0.002 0.000
-3.856 4.648 0.000
0.000 0.000 2.576


No. 7
! GGA-PBE KLiTc2, optimized geometry; values from VASP
! - Density of states at the Fermi level: 0.9885 states/eV per atom
! - Offset from the most stable computed form: 192 meV per atom
! - ΔH_f (0 K): 0.708 eV per atom
&SYSTEM
  ibrav = 0, nat = 4, ntyp = 3
/
ATOMIC_SPECIES
Tc 98.00 Tc.upf
Li 6.94 Li.upf
K 39.10 K.upf
ATOMIC_POSITIONS crystal
Tc 0.500 0.500 0.206
Li 0.500 0.500 0.801
Tc 0.000 0.000 0.013
K 0.000 0.000 0.480
CELL_PARAMETERS angstrom
2.776 0.003 0.000
-1.115 2.542 0.000
0.000 0.000 10.695


No. 8
! GGA-PBE KLiTc2, optimized geometry; values from VASP
! - Density of states at the Fermi level: 0.7898 states/eV per atom
! - Offset from the most stable computed form: 426 meV per atom
! - ΔH_f (0 K): 0.942 eV per atom
&SYSTEM
  ibrav = 0, nat = 4, ntyp = 3
/
ATOMIC_SPECIES
Tc 98.00 Tc.upf
Li 6.94 Li.upf
K 39.10 K.upf
ATOMIC_POSITIONS crystal
Tc 0.000 0.000 0.000
Li 0.000 0.500 0.500
K 0.500 0.000 0.500
Tc 0.500 0.500 0.000
CELL_PARAMETERS angstrom
6.069 -0.008 0.000
-3.871 4.674 0.000
0.279 0.592 2.529


No. 9
! GGA-PBE KLiTc2, optimized geometry; values from VASP
! - Density of states at the Fermi level: 0.7022 states/eV per atom
! - Offset from the most stable computed form: 499 meV per atom
! - ΔH_f (0 K): 1.015 eV per atom
&SYSTEM
  ibrav = 0, nat = 4, ntyp = 3
/
ATOMIC_SPECIES
Tc 98.00 Tc.upf
K 39.10 K.upf
Li 6.94 Li.upf
ATOMIC_POSITIONS crystal
Tc 0.500 0.500 0.000
Tc 0.000 0.000 0.000
K 0.250 0.750 0.500
Li 0.750 0.250 0.500
CELL_PARAMETERS angstrom
6.071 -0.001 0.000
3.881 4.668 0.000
-4.976 -2.334 2.579


No. 10
! GGA-PBE KLiTc2, optimized geometry; values from VASP
! - Density of states at the Fermi level: 0.8139 states/eV per atom
! - Offset from the most stable computed form: 557 meV per atom
! - ΔH_f (0 K): 1.072 eV per atom
&SYSTEM
  ibrav = 0, nat = 8, ntyp = 3
/
ATOMIC_SPECIES
K 39.10 K.upf
Tc 98.00 Tc.upf
Li 6.94 Li.upf
ATOMIC_POSITIONS crystal
K 0.750 0.250 0.500
Tc 0.605 0.125 0.250
Li 0.250 0.750 0.500
Tc 0.875 0.855 0.750
Tc 0.375 0.395 0.750
K 0.000 0.000 0.000
Li 0.500 0.500 0.000
Tc 0.145 0.625 0.250
CELL_PARAMETERS angstrom
3.651 0.000 0.000
0.000 3.651 0.000
1.826 1.826 11.179


No. 11
! GGA-PBE KLiTc2, optimized geometry; values from VASP
! - Density of states at the Fermi level: 1.0163 states/eV per atom
! - Offset from the most stable computed form: 0 meV per atom
! - ΔH_f (0 K): 0.515 eV per atom
&SYSTEM
  ibrav = 0, nat = 4, ntyp = 3
/
ATOMIC_SPECIES
Tc 98.00 Tc.upf
K 39.10 K.upf
Li 6.94 Li.upf
ATOMIC_POSITIONS crystal
Tc 0.500 0.334 0.165
Tc 0.000 0.975 0.024
K 0.000 0.523 0.479
Li 0.500 0.668 0.831
CELL_PARAMETERS angstrom
3.112 0.000 0.000
0.000 3.090 0.370
0.000 2.032 9.059


No. 12
! GGA-PBE KLiTc2, optimized geometry; values from VASP
! - Density of states at the Fermi level: 0.9781 states/eV per atom
! - Offset from the most stable computed form: 125 meV per atom
! - ΔH_f (0 K): 0.640 eV per atom
&SYSTEM
  ibrav = 0, nat = 4, ntyp = 3
/
ATOMIC_SPECIES
Tc 98.00 Tc.upf
Li 6.94 Li.upf
K 39.10 K.upf
ATOMIC_POSITIONS crystal
Tc 0.993 0.993 0.976
Li 0.256 0.256 0.162
Tc 0.748 0.748 0.845
K 0.503 0.503 0.517
CELL_PARAMETERS angstrom
-2.635 3.460 -0.952
-4.131 1.219 -1.126
-1.842 0.672 7.210


No. 13
! GGA-PBE KLiTc2, optimized geometry; values from VASP
! - Density of states at the Fermi level: 1.1145 states/eV per atom
! - Offset from the most stable computed form: 460 meV per atom
! - ΔH_f (0 K): 0.975 eV per atom
&SYSTEM
  ibrav = 0, nat = 4, ntyp = 3
/
ATOMIC_SPECIES
K 39.10 K.upf
Li 6.94 Li.upf
Tc 98.00 Tc.upf
ATOMIC_POSITIONS crystal
K 0.500 0.000 0.500
Li 0.000 0.500 0.500
Tc 0.000 0.000 0.000
Tc 0.500 0.500 0.000
CELL_PARAMETERS angstrom
3.082 0.000 0.000
0.000 4.222 0.000
0.000 0.000 5.542


No. 14
! GGA-PBE KLiTc2, optimized geometry; values from VASP
! - Density of states at the Fermi level: 0.7604 states/eV per atom
! - Offset from the most stable computed form: 425 meV per atom
! - ΔH_f (0 K): 0.940 eV per atom
&SYSTEM
  ibrav = 0, nat = 4, ntyp = 3
/
ATOMIC_SPECIES
Tc 98.00 Tc.upf
K 39.10 K.upf
Li 6.94 Li.upf
ATOMIC_POSITIONS crystal
Tc 0.000 0.576 0.494
K 0.500 0.250 0.250
Li 0.500 0.750 0.750
Tc 0.000 0.924 0.006
CELL_PARAMETERS angstrom
5.538 0.000 0.000
0.000 2.667 -0.022
0.000 0.859 4.876


No. 15
! GGA-PBE K2LiTe, optimized geometry; values from VASP
! - Density of states at the Fermi level: 0.4409 states/eV per atom
! - Raw formation energy: -0.605 eV/atom
&SYSTEM
  ibrav = 0, nat = 4, ntyp = 3
/
ATOMIC_SPECIES
Li 6.94 Li.upf
K 39.10 K.upf
Te 127.60 Te.upf
ATOMIC_POSITIONS crystal
Li 0.403 0.403 0.000
K 0.058 0.058 0.000
Te 0.285 0.785 0.500
K 0.753 0.253 0.500
CELL_PARAMETERS angstrom
7.573 -0.010 0.120
4.122 6.354 -0.120
-5.445 -3.914 3.522


No. 16
! GGA-PBE KLi3Te, optimized geometry; values from VASP
! - Density of states at the Fermi level: 0.0081 states/eV per atom
! - Offset from the most stable computed form: 795 meV per atom
! - Raw formation energy: 0.407 eV/atom
&SYSTEM
  ibrav = 0, nat = 5, ntyp = 3
/
ATOMIC_SPECIES
Te 127.60 Te.upf
Li 6.94 Li.upf
K 39.10 K.upf
ATOMIC_POSITIONS crystal
Te 0.500 0.500 0.500
Li 0.000 0.500 0.000
Li 0.000 0.000 0.500
K 0.000 0.000 0.000
Li 0.500 0.000 0.000
CELL_PARAMETERS angstrom
-4.276 -1.550 -3.013
3.328 -1.006 -4.205
0.639 -5.134 1.734


No. 17
! GGA-PBE KLiTe, optimized geometry; values from VASP
! - Density of states at the Fermi level: 0.0000 states/eV per atom
! - Raw formation energy: -1.011 eV/atom
&SYSTEM
  ibrav = 0, nat = 3, ntyp = 3
/
ATOMIC_SPECIES
Te 127.60 Te.upf
K 39.10 K.upf
Li 6.94 Li.upf
ATOMIC_POSITIONS crystal
Te 0.667 0.333 0.500
K 0.000 0.000 0.000
Li 0.333 0.667 0.500
CELL_PARAMETERS angstrom
-2.028 2.640 -3.347
1.468 -4.372 -1.009
-4.526 -1.822 1.306


No. 18
! GGA-PBE K2LiTe, optimized geometry; values from VASP
! - Density of states at the Fermi level: 0.3362 states/eV per atom
! - Raw formation energy: -0.737 eV/atom
&SYSTEM
  ibrav = 0, nat = 4, ntyp = 3
/
ATOMIC_SPECIES
Li 6.94 Li.upf
K 39.10 K.upf
Te 127.60 Te.upf
ATOMIC_POSITIONS crystal
Li 0.542 0.542 0.375
K 0.779 0.779 0.652
K 0.971 0.971 0.098
Te 0.208 0.208 0.376
CELL_PARAMETERS angstrom
-3.161 -2.360 -2.607
-0.401 -4.689 0.451
-7.431 -1.276 5.735


No. 19
! GGA-PBE KLiTe2, optimized geometry; values from VASP
! - Density of states at the Fermi level: 0.3164 states/eV per atom
! - Offset from the most stable computed form: 222 meV per atom
! - Raw formation energy: -0.572 eV/atom
&SYSTEM
  ibrav = 0, nat = 4, ntyp = 3
/
ATOMIC_SPECIES
Te 127.60 Te.upf
Li 6.94 Li.upf
K 39.10 K.upf
ATOMIC_POSITIONS crystal
Te 0.006 0.006 0.000
Li 0.250 0.750 0.500
Te 0.494 0.494 0.000
K 0.750 0.250 0.500
CELL_PARAMETERS angstrom
5.866 -0.009 -0.047
1.532 5.663 0.047
-3.498 -3.091 3.554


No. 20
! GGA-PBE KLiTe2, optimized geometry; values from VASP
! - Density of states at the Fermi level: 0.4254 states/eV per atom
! - Offset from the most stable computed form: 165 meV per atom
! - Raw formation energy: -0.628 eV/atom
&SYSTEM
  ibrav = 0, nat = 4, ntyp = 3
/
ATOMIC_SPECIES
K 39.10 K.upf
Li 6.94 Li.upf
Te 127.60 Te.upf
ATOMIC_POSITIONS crystal
K 0.500 0.500 0.250
Li 0.500 0.500 0.750
Te 0.000 0.000 0.533
Te 0.000 0.000 0.967
CELL_PARAMETERS angstrom
-1.245 -3.291 0.078
2.188 -0.751 2.652
-6.451 2.584 6.053